Entry one
MgTa2Br | PBE-GGA | relaxed

```
MgTa2Br
1.0
-2.114 2.114 4.295
2.114 -2.114 4.295
2.114 2.114 -4.295
Mg Ta Br
1 2 1
Cartesian
0.000 0.000 0.000
2.114 0.000 2.148
0.000 0.000 4.295
0.000 2.114 2.148
```

Size of the total moment   0.000 μB/atom

=====

Entry two
MgTa2Br | PBE-GGA | relaxed

```
MgTa2Br
1.0
1.523 0.879 9.535
-1.523 0.879 9.535
0.000 -1.759 9.535
Mg Ta Br
1 2 1
Cartesian
0.000 0.000 0.000
0.000 0.000 6.992
0.000 0.000 21.613
0.000 0.000 14.303
```

Size of the total moment   0.000 μB/atom

=====

Entry three
MgTa2Br | PBE-GGA | relaxed

```
MgTa2Br
1.0
5.239 -1.567 0.000
5.239 1.567 0.000
-0.835 0.000 4.749
Mg Ta Br
1 2 1
Cartesian
0.000 0.000 0.000
1.940 0.000 3.599
7.703 0.000 1.150
4.821 0.000 2.375
```

Size of the total moment   0.000 μB/atom

=====

Entry four
MgTa2Br | PBE-GGA | relaxed

```
MgTa2Br
1.0
-1.972 1.972 5.183
1.972 -1.972 5.183
1.972 1.972 -5.183
Mg Ta Br
1 2 1
Cartesian
0.000 0.000 0.000
1.972 0.000 2.591
0.000 1.972 2.591
0.000 0.000 5.183
```

Size of the total moment   0.002 μB/atom

=====

The data favor entry two; the next most stable structure lies 1.2 kJ/mol of atoms above it.